1.
A relaxed Pm6Au5 crystal, computed with PBE-GGA.

The structure in CIF format:
```
data_Pm6Au5
_chemical_formula_sum 'Pm12 Au10'
_symmetry_space_group_name_H-M 'I m m m'
_symmetry_Int_Tables_number 71
_symmetry_space_group_name_Hall '-I 2 2'
_cell_length_a 5.1835
_cell_length_b 7.3722
_cell_length_c 15.5260
_cell_angle_alpha 90.00
_cell_angle_beta 90.00
_cell_angle_gamma 90.00
loop_
_atom_site_label
_atom_site_type_symbol
_atom_site_fract_x
_atom_site_fract_y
_atom_site_fract_z
Pm1 Pm 0.0000 0.2486 0.0000
Pm2 Pm 0.0000 0.2504 0.3342
Au1 Au 0.0000 0.0000 0.1689
Au2 Au 0.0000 0.5000 0.1606
Au3 Au 0.0000 0.5000 0.5000
```

Results
As for the crystal system: orthorhombic. For the total magnetic moment, the calculation gives 0.000 μB per formula unit. As for the energy relative to the elements: -678 meV/atom. As for the raw total energy: -104.7 eV per cell. The mass density comes out at 10.38 g cm⁻³.

2.
A relaxed Ba2Zn3InPt4 crystal, computed with PBE-GGA.

The structure in CIF format:
```
data_Ba2Zn3InPt4
_chemical_formula_sum 'Ba2 Zn3 In1 Pt4'
_symmetry_space_group_name_H-M 'P -4 m 2'
_symmetry_Int_Tables_number 115
_symmetry_space_group_name_Hall 'P -4 -2'
_cell_length_a 4.4965
_cell_length_b 4.4965
_cell_length_c 10.9524
_cell_angle_alpha 90.00
_cell_angle_beta 90.00
_cell_angle_gamma 90.00
loop_
_atom_site_label
_atom_site_type_symbol
_atom_site_fract_x
_atom_site_fract_y
_atom_site_fract_z
Ba1 Ba 0.0000 0.5000 0.2368
Zn1 Zn 0.0000 0.5000 0.8790
Zn2 Zn 0.5000 0.5000 0.5000
In1 In 0.0000 0.0000 0.5000
Pt1 Pt 0.0000 0.0000 0.0000
Pt2 Pt 0.0000 0.5000 0.6396
Pt3 Pt 0.5000 0.5000 0.0000
```

Results
As for the crystal system: tetragonal. For the total magnetic moment, the calculation gives 0.000 μB per formula unit. As for the energy relative to the elements: -620 meV/atom. As for the raw total energy: -40.8 eV per cell. The mass density comes out at 10.24 g cm⁻³.